Entry 1:
# PBE-GGA Nd2PuNpAs4, relaxed
data_Nd2PuNpAs4
_chemical_formula_sum 'Nd2 Pu1 Np1 As4'
_cell_length_a 7.2632
_cell_length_b 4.1937
_cell_length_c 7.2680
_cell_angle_alpha 90.00
_cell_angle_beta 109.45
_cell_angle_gamma 90.00
_space_group_name_H-M_alt 'P 1 2/m 1'
_space_group_IT_number 10
loop_
_space_group_symop_operation_xyz
'x,y,z'
'-x,-y,-z'
'-x,y,-z'
'x,-y,z'
loop_
_atom_site_label
_atom_site_fract_x
_atom_site_fract_y
_atom_site_fract_z
_atom_site_occupancy
Nd1 0.0000 0.0000 0.0000 1
Nd2 0.0000 0.5000 0.5000 1
Pu1 0.5000 0.0000 0.5000 1
Np1 0.5000 0.5000 0.0000 1
As1 0.2631 0.0000 0.7561 1
As2 0.2632 0.5000 0.2524 1
# Calculated formation energy = -1.177 eV/atom
# Fermi-level density of states = 21.996 states/eV per cell
# Total magnetic moment = 8.82 μB per cell

Entry 2:
# PBE-GGA ZrMnSb2, relaxed
data_ZrMnSb2
_chemical_formula_sum 'Zr4 Mn4 Sb8'
_cell_length_a 14.8269
_cell_length_b 3.8186
_cell_length_c 6.8248
_cell_angle_alpha 90.00
_cell_angle_beta 114.31
_cell_angle_gamma 90.00
_space_group_name_H-M_alt 'C 1 2/m 1'
_space_group_IT_number 12
loop_
_space_group_symop_operation_xyz
'x,y,z'
'-x,-y,-z'
'-x,y,-z'
'x,-y,z'
'x+1/2,y+1/2,z'
'-x+1/2,-y+1/2,-z'
'-x+1/2,y+1/2,-z'
'x+1/2,-y+1/2,z'
loop_
_atom_site_label
_atom_site_fract_x
_atom_site_fract_y
_atom_site_fract_z
_atom_site_occupancy
Zr1 0.1307 0.0000 0.1748 1
Mn1 0.2085 0.5000 0.9372 1
Sb1 0.0187 0.5000 0.7934 1
Sb2 0.1898 0.0000 0.6475 1
# Formation energy (no corrections) = -0.335 eV/atom
# Fermi-level density of states = 8.176 states/eV per cell
# Total magnetic moment = 0.00 μB per cell

Entry 3:
# PBE-GGA Co2BiHPd, relaxed
data_Co2BiHPd
_chemical_formula_sum 'Co2 Bi1 H1 Pd1'
_cell_length_a 4.9147
_cell_length_b 4.9147
_cell_length_c 3.6514
_cell_angle_alpha 90.00
_cell_angle_beta 90.00
_cell_angle_gamma 90.00
_space_group_name_H-M_alt 'P 4/m m m'
_space_group_IT_number 123
_space_group_name_Hall '-P 4 2'
loop_
_atom_site_label
_atom_site_fract_x
_atom_site_fract_y
_atom_site_fract_z
_atom_site_occupancy
Co1 0.0000 0.5000 0.0000 1
Bi1 0.0000 0.0000 0.0000 1
H1 0.0000 0.0000 0.5000 1
Pd1 0.5000 0.5000 0.5000 1
# E_tot = -4.13 eV/atom
# Fermi-level density of states = 6.481 states/eV per cell
# Total magnetic moment = 3.47 μB per cell

Q: Among the records above, which one has the highest total magnetic moment?
A: Nd2PuNpAs4